Computed, not measured: a relaxed BeTe2PtI crystal at the PBE level of DFT.

a = 5.325 Å, b = 5.325 Å, c = 5.493 Å
α = 90.00°, β = 90.00°, γ = 90.00°
Space group P4/mmm (No. 123)
One atom of each set of equivalent atoms:
Be (0.000, 0.000, 0.000) x1
Te (0.000, 0.500, 0.500) x2
Pt (0.500, 0.500, 0.500) x1
I (0.500, 0.500, 0.000) x1

Computed properties:
E above lowest polymorph: 52 meV per atom
Formation energy without anion corrections: 0.823 eV/atom
Fermi-level density of states: 1.3675 states/eV/atom
Total DFT energy (no corrections): -2.697 eV/atom